Entry 1:
A relaxed structure of CrPbS2, computed with GGA-PBE.

Total moment ... 4.0 μB/f.u.
ΔE_f (raw) ... -0.366 eV per atom
Space group ... P2_1/m, No. 11

Structure (POSCAR):
```
CrPbS2
1.0
5.833 0.000 0.000
0.000 4.440 0.000
-2.663 0.000 8.079
Cr Pb S
2 2 4
Direct
0.073 0.250 0.155
0.927 0.750 0.845
0.334 0.750 0.656
0.666 0.250 0.344
0.187 0.750 0.120
0.225 0.250 0.451
0.775 0.750 0.549
0.813 0.250 0.880
```



Entry 2:
A relaxed structure of K3Rb7Hg, computed with GGA-PBE.

Total moment ... 0.0 μB/f.u.
Energy relative to the elements ... 0.004 eV/atom
Space group ... Cm, No. 8

Structure (POSCAR):
```
K3Rb7Hg
1.0
7.665 -5.893 0.000
7.665 5.893 0.000
-5.241 0.000 9.893
K Rb Hg
3 7 1
Direct
0.000 0.000 0.000
0.268 0.655 0.739
0.655 0.268 0.739
0.099 0.475 0.966
0.228 0.833 0.396
0.289 0.289 0.358
0.475 0.099 0.966
0.681 0.681 0.164
0.707 0.707 0.616
0.833 0.228 0.396
0.479 0.479 0.252
```



Entry 3:
A relaxed structure of BaIn2Co2, computed with GGA-PBE.

Total moment ... 1.8 μB/f.u.
Energy relative to the elements ... 0.106 eV/atom
Space group ... I4/mmm, No. 139
Distance to the lowest polymorph of the same formula ... 0 meV/atom

Structure (POSCAR):
```
BaIn2Co2
1.0
-2.298 2.298 5.353
2.298 -2.298 5.353
2.298 2.298 -5.353
Ba In Co
1 2 2
Direct
0.000 0.000 0.000
0.250 0.750 0.500
0.750 0.250 0.500
0.394 0.394 0.000
0.606 0.606 0.000
```